Entry 1:
Density functional theory data (PBEsol) for crystalline Ba2Mg at its relaxed geometry.

Unit cell a=5.7191 b=9.2564 c=9.2564 alpha=120.00 beta=90.00 gamma=90.00
Last column: nearest neighbours and their distance in Å.
Atoms (fractional coordinates):
Ba  0.0000  0.0000  0.2524  4 Mg 3.52-3.69
Ba  0.5000  0.0000  0.5853  5 Mg 3.84-3.99, 2 Ba 4.20
Ba  0.0000  0.7476  0.7476  4 Mg 3.52-3.69
Ba  0.0000  0.2524  0.0000  4 Mg 3.52-3.69
Ba  0.5000  0.4147  0.4147  5 Mg 3.84-3.99, 2 Ba 4.20
Ba  0.5000  0.5853  0.0000  5 Mg 3.84-3.99, 2 Ba 4.20
Mg  0.5000  0.0000  0.0000  9 Ba 3.69-3.84
Mg  0.0000  0.6667  0.3333  3 Ba 3.52
Mg  0.0000  0.3333  0.6667  3 Ba 3.52

Output
- final energy (eV/atom) = -1.98
- D(E_F) (states/eV/atom) = 1.5724
- SG = No. 189
- magnetic moment (μB per cell) = 0.001
- energy of formation from the pure elements (eV/f.u.) = 0.1

---

Entry 2:
Density functional theory data (PBEsol) for crystalline AlS2NCl6 at its relaxed geometry.

Unit cell a=6.2394 b=13.0453 c=13.1592 alpha=90.00 beta=90.00 gamma=92.06
Last column: nearest neighbours and their distance in Å.
Atoms (fractional coordinates):
Al  0.8571  0.9973  0.2500  4 Cl 2.14-2.16
Al  0.0247  0.4661  0.2500  4 Cl 2.13-2.16
Al  0.1429  0.0027  0.7500  4 Cl 2.14-2.16
Al  0.9753  0.5339  0.7500  4 Cl 2.13-2.16
S  0.6558  0.8395  0.5854  1 N 1.53
S  0.2316  0.3521  0.5246  1 N 1.53
S  0.3442  0.1605  0.4146  1 N 1.53
S  0.2316  0.3521  0.9754  1 N 1.53
S  0.3442  0.1605  0.0854  1 N 1.53
S  0.7684  0.6479  0.0246  1 N 1.53
S  0.6558  0.8395  0.9146  1 N 1.53
S  0.7684  0.6479  0.4754  1 N 1.53
N  0.2434  0.2576  0.0443  2 S 1.53
N  0.7566  0.7424  0.9557  2 S 1.53
N  0.2434  0.2576  0.4557  2 S 1.53
N  0.7566  0.7424  0.5443  2 S 1.53
Cl  0.3341  0.4030  0.2500  1 Al 2.13
Cl  0.0397  0.0804  0.6164  1 Al 2.14
Cl  0.8534  0.4206  0.1137  1 Al 2.16
Cl  0.9446  0.3681  0.7500  1 Al 2.16
Cl  0.9876  0.1532  0.2500  1 Al 2.16
Cl  0.8534  0.4206  0.3863  1 Al 2.16
Cl  0.0554  0.6319  0.2500  1 Al 2.16
Cl  0.3847  0.8671  0.9935  1 S 2.03
Cl  0.6153  0.1329  0.0065  1 S 2.03
Cl  0.0124  0.8468  0.7500  1 Al 2.16
Cl  0.5080  0.6402  0.1167  1 S 2.03
Cl  0.9603  0.9196  0.3836  1 Al 2.14
Cl  0.5120  0.0034  0.2500  1 Al 2.16
Cl  0.9603  0.9196  0.1164  1 Al 2.14
Cl  0.6659  0.5970  0.7500  1 Al 2.13
Cl  0.5080  0.6402  0.3833  1 S 2.03
Cl  0.0397  0.0804  0.8836  1 Al 2.14
Cl  0.4880  0.9966  0.7500  1 Al 2.16
Cl  0.6153  0.1329  0.4935  1 S 2.03
Cl  0.3847  0.8671  0.5065  1 S 2.03
Cl  0.4920  0.3598  0.6167  1 S 2.03
Cl  0.1466  0.5794  0.6137  1 Al 2.16
Cl  0.1466  0.5794  0.8863  1 Al 2.16
Cl  0.4920  0.3598  0.8833  1 S 2.03

Output
- final energy (eV/atom) = -4.00
- D(E_F) (states/eV/atom) = 0.0000
- uncorrected formation energy (meV/atom) = -657
- SG = No. 11
- magnetic moment (μB per cell) = 0.000

---

Entry 3:
Density functional theory data (PBEsol) for crystalline Li2ZrN at its relaxed geometry.

Unit cell a=5.6050 b=5.6050 c=5.6050 alpha=60.00 beta=60.00 gamma=60.00
Last column: nearest neighbours and their distance in Å.
Atoms (fractional coordinates):
Li  0.1250  0.1250  0.6250  2 N 1.72
Li  0.1250  0.1250  0.1250  2 N 1.72
Li  0.6250  0.1250  0.1250  2 N 1.72
Li  0.1250  0.6250  0.1250  2 N 1.72
Zr  0.7500  0.7500  0.7500  12 Li 3.29, 4 N 3.43, 4 Zr 3.43
Zr  0.5000  0.5000  0.5000  12 Li 3.29, 4 Zr 3.43, 4 N 3.43
N  0.2500  0.2500  0.2500  4 Li 1.72
N  0.0000  0.0000  0.0000  4 Li 1.72

Output
- final energy (eV/atom) = -4.78
- D(E_F) (states/eV/atom) = 0.8043
- uncorrected formation energy (meV/atom) = 604
- SG = No. 227
- magnetic moment (μB per cell) = 4.448